Record 1
Mn5Hg | GGA-PBE | relaxed

Output
Its formation energy is 0.3467 eV per atom. The calculation puts the total DFT energy (no corrections) at -7.345 eV per atom. As for the density of states at the Fermi level: 8.101 states/eV/cell. As for the crystal system: cubic.

Cell: 4.8142 4.8142 4.8142 Å, 60.00 60.00 60.00°
Positions (direct):
1 Mn 0.3750 0.8750 0.3750
2 Mn 0.3750 0.3750 0.8750
3 Mn 0.7500 0.7500 0.7500
4 Mn 0.3750 0.3750 0.3750
5 Mn 0.8750 0.3750 0.3750
6 Hg 0.0000 0.0000 0.0000

Record 2
Ta4Tc3Os | GGA-PBE | relaxed

Output
Its formation energy is -0.4628 eV per atom. The calculation puts the total DFT energy (no corrections) at -11.680 eV per atom. As for the density of states at the Fermi level: 1.733 states/eV/cell. As for the crystal system: orthorhombic.

Cell: 3.1878 4.5070 9.0064 Å, 90.00 90.00 90.00°
Positions (direct):
1 Ta 0.0000 0.0000 0.0000
2 Ta 0.0000 0.5000 0.7465
3 Ta 0.0000 0.0000 0.5000
4 Ta 0.0000 0.5000 0.2535
5 Tc 0.5000 0.0000 0.2480
6 Tc 0.5000 0.5000 0.5000
7 Tc 0.5000 0.0000 0.7520
8 Os 0.5000 0.5000 0.0000

Record 3
Hf2ScAl | GGA-PBE | relaxed

Output
Its formation energy is -0.0481 eV per atom. The calculation puts the total DFT energy (no corrections) at -7.543 eV per atom. As for the density of states at the Fermi level: 4.684 states/eV/cell. As for the crystal system: trigonal.

Cell: 3.1653 3.1653 10.0126 Å, 80.91 80.91 60.00°
Positions (direct):
1 Al 0.6665 0.6665 0.0004
2 Hf 0.0805 0.0805 0.7586
3 Hf 0.2534 0.2534 0.2399
4 Sc 0.4996 0.4996 0.5011

Record 4
Mn3BiAs | GGA-PBE | relaxed

Output
Its formation energy is 1.3041 eV per atom. For the energy above the lowest structure with this stoichiometry, the calculation gives 0.840 eV/atom. The calculation puts the total DFT energy (no corrections) at -5.904 eV per atom. As for the density of states at the Fermi level: 7.103 states/eV/cell. As for the crystal system: cubic.

Cell: 5.1744 5.1744 5.1744 Å, 90.00 90.00 90.00°
Positions (direct):
1 Mn 0.0000 0.5000 0.0000
2 Mn 0.5000 0.0000 0.0000
3 Mn 0.0000 0.0000 0.5000
4 Bi 0.0000 0.0000 0.0000
5 As 0.5000 0.5000 0.5000

Record 5
Pr12SmEr2 | GGA-PBE | relaxed

Output
Its formation energy is 0.1533 eV per atom. The calculation puts the total DFT energy (no corrections) at -4.593 eV per atom. As for the density of states at the Fermi level: 42.361 states/eV/cell. As for the crystal system: orthorhombic.

Cell: 6.8974 6.8974 25.2174 Å, 90.00 90.00 116.55°
Positions (direct):
1 Pr 0.0000 0.0000 0.8013
2 Pr 0.2698 0.7698 0.4141
3 Pr 0.7254 0.7746 0.5602
4 Pr 0.0000 0.0000 0.6761
5 Pr 0.2519 0.7519 0.8685
6 Pr 0.5000 0.5000 0.1987
7 Pr 0.7698 0.2698 0.5859
8 Pr 0.5000 0.5000 0.8013
9 Pr 0.0000 0.0000 0.3239
10 Pr 0.7519 0.2519 0.1315
11 Pr 0.5000 0.5000 0.6761
12 Pr 0.2474 0.2526 0.9264
13 Pr 0.7746 0.7254 0.4398
14 Pr 0.2481 0.7481 0.1315
15 Pr 0.2526 0.2474 0.0736
16 Pr 0.7474 0.7526 0.0736
17 Pr 0.2302 0.7302 0.5859
18 Pr 0.7526 0.7474 0.9264
19 Pr 0.7302 0.2302 0.4141
20 Pr 0.2254 0.2746 0.4398
21 Pr 0.7481 0.2481 0.8685
22 Pr 0.0000 0.0000 0.1987
23 Pr 0.2746 0.2254 0.5602
24 Pr 0.5000 0.5000 0.3239
25 Sm 0.0000 0.5000 0.0012
26 Sm 0.5000 0.0000 0.9988
27 Er 0.0000 0.5000 0.2705
28 Er 0.5000 0.0000 0.2671
29 Er 0.0000 0.5000 0.7329
30 Er 0.5000 0.0000 0.7295

Record 6
EuGaAg2 | GGA-PBE | relaxed

Output
Its formation energy is -0.1789 eV per atom. For the energy above the lowest structure with this stoichiometry, the calculation gives 0.062 eV/atom. The calculation puts the total DFT energy (no corrections) at -4.930 eV per atom. As for the density of states at the Fermi level: 11.947 states/eV/cell. As for the crystal system: cubic.

Cell: 4.9906 4.9906 4.9906 Å, 60.00 60.00 60.00°
Positions (direct):
1 Eu 0.0000 0.0000 0.0000
2 Ag 0.2500 0.2500 0.2500
3 Ag 0.7500 0.7500 0.7500
4 Ga 0.5000 0.5000 0.5000

total DFT energy (no corrections) of number 3 (Hf2ScAl)?
-7.543 eV per atom

Which of these has the lowest total DFT energy (no corrections)?
Ta4Tc3Os

total DFT energy (no corrections) of number 2 (Ta4Tc3Os)?
-11.680 eV per atom

Please write out number 4 again, unchanged.
Mn3BiAs | GGA-PBE | relaxed

Output
Its formation energy is 1.3041 eV per atom. For the energy above the lowest structure with this stoichiometry, the calculation gives 0.840 eV/atom. The calculation puts the total DFT energy (no corrections) at -5.904 eV per atom. As for the density of states at the Fermi level: 7.103 states/eV/cell. As for the crystal system: cubic.

Cell: 5.1744 5.1744 5.1744 Å, 90.00 90.00 90.00°
Positions (direct):
1 Mn 0.0000 0.5000 0.0000
2 Mn 0.5000 0.0000 0.0000
3 Mn 0.0000 0.0000 0.5000
4 Bi 0.0000 0.0000 0.0000
5 As 0.5000 0.5000 0.5000